Entry from the Alexandria database: crystalline Rb2SmCrO4 at its relaxed geometry (PBE+U).

Calculated values
The calculation puts the total DFT energy (no corrections) at -6.30 eV per atom. Its space group is P2/m (10).

The structure in POSCAR format:
```
Rb2SmCrO4
1.0
3.420 0.000 0.000
0.000 5.836 0.068
0.000 -2.071 6.454
Rb Cr Sm O
2 1 1 4
Direct
0.000 0.500 0.500
0.500 0.000 0.500
0.000 0.000 0.000
0.500 0.500 0.000
0.000 0.247 0.826
0.500 0.200 0.169
0.000 0.753 0.174
0.500 0.800 0.831
```